(1)
! PBE SmScPa, optimized geometry; values from VASP
! Energy above the most stable polymorph in this dataset: 0.0316 eV/atom
! Calculated volume: 82 Å³ per cell
! Magnetization: 0.00 Bohr magnetons per cell
! Raw total energy: -6.69 eV/atom
&SYSTEM
  ibrav = 0, nat = 3, ntyp = 3
/
ATOMIC_SPECIES
Sm 150.36 Sm.upf
Sc 44.96 Sc.upf
Pa 231.04 Pa.upf
CELL_PARAMETERS angstrom
-1.656 1.656 7.478
1.656 -1.656 7.478
1.656 1.656 -7.478
ATOMIC_POSITIONS angstrom
Sm 0.000 0.000 0.000
Sc 0.000 0.000 4.752
Pa 0.000 0.000 9.969

(2)
! PBE Sm2ScPa, optimized geometry; values from VASP
! Energy above the most stable polymorph in this dataset: 0.0000 eV/atom
! Calculated volume: 115 Å³ per cell
! Magnetization: 0.02 Bohr magnetons per cell
! Raw total energy: -6.14 eV/atom
&SYSTEM
  ibrav = 0, nat = 4, ntyp = 3
/
ATOMIC_SPECIES
Sm 150.36 Sm.upf
Sc 44.96 Sc.upf
Pa 231.04 Pa.upf
CELL_PARAMETERS angstrom
3.378 0.000 0.000
0.000 3.378 0.000
0.000 0.000 10.087
ATOMIC_POSITIONS angstrom
Sm 0.000 0.000 2.464
Sm 0.000 0.000 7.623
Sc 1.689 1.689 5.044
Pa 1.689 1.689 0.000

(3)
! PBE SmScPa, optimized geometry; values from VASP
! Energy above the most stable polymorph in this dataset: 0.0000 eV/atom
! Calculated volume: 81 Å³ per cell
! Magnetization: 0.00 Bohr magnetons per cell
! Raw total energy: -6.73 eV/atom
&SYSTEM
  ibrav = 0, nat = 3, ntyp = 3
/
ATOMIC_SPECIES
Sm 150.36 Sm.upf
Sc 44.96 Sc.upf
Pa 231.04 Pa.upf
CELL_PARAMETERS angstrom
3.357 0.000 0.000
-1.678 2.907 0.000
0.000 0.000 8.323
ATOMIC_POSITIONS angstrom
Sm 0.000 0.000 0.000
Sc 0.000 1.938 5.387
Pa 1.678 0.969 2.802

(4)
! PBE SmScPa, optimized geometry; values from VASP
! Energy above the most stable polymorph in this dataset: 0.2759 eV/atom
! Calculated volume: 185 Å³ per cell
! Magnetization: 0.00 Bohr magnetons per cell
! Raw total energy: -6.45 eV/atom
&SYSTEM
  ibrav = 0, nat = 6, ntyp = 3
/
ATOMIC_SPECIES
Sm 150.36 Sm.upf
Sc 44.96 Sc.upf
Pa 231.04 Pa.upf
CELL_PARAMETERS angstrom
2.526 1.459 8.363
-2.526 1.459 8.363
0.000 -2.917 8.363
ATOMIC_POSITIONS angstrom
Sm 0.000 0.000 5.243
Sm 0.000 0.000 19.848
Sc 0.000 0.000 1.498
Sc 0.000 0.000 23.593
Pa 0.000 0.000 8.509
Pa 0.000 0.000 16.581

(5)
! PBE Sm2ScPa, optimized geometry; values from VASP
! Energy above the most stable polymorph in this dataset: 0.1142 eV/atom
! Calculated volume: 114 Å³ per cell
! Magnetization: 0.00 Bohr magnetons per cell
! Raw total energy: -6.03 eV/atom
&SYSTEM
  ibrav = 0, nat = 4, ntyp = 3
/
ATOMIC_SPECIES
Sm 150.36 Sm.upf
Sc 44.96 Sc.upf
Pa 231.04 Pa.upf
CELL_PARAMETERS angstrom
1.652 0.954 12.072
-1.652 0.954 12.072
0.000 -1.908 12.072
ATOMIC_POSITIONS angstrom
Sm 0.000 0.000 3.213
Sm 0.000 0.000 33.003
Sc 0.000 0.000 18.108
Pa 0.000 0.000 0.000

(6)
! PBE SmTmScPa, optimized geometry; values from VASP
! Calculated volume: 113 Å³ per cell
! Magnetization: 0.01 Bohr magnetons per cell
! Raw total energy: -5.92 eV/atom
&SYSTEM
  ibrav = 0, nat = 4, ntyp = 4
/
ATOMIC_SPECIES
Sm 150.36 Sm.upf
Tm 168.93 Tm.upf
Sc 44.96 Sc.upf
Pa 231.04 Pa.upf
CELL_PARAMETERS angstrom
0.000 3.843 3.843
3.843 0.000 3.843
3.843 3.843 0.000
ATOMIC_POSITIONS angstrom
Sm 0.000 0.000 0.000
Tm 1.921 1.921 1.921
Sc 3.843 3.843 3.843
Pa 5.764 5.764 5.764

(7)
! PBE Sc2PaSn, optimized geometry; values from VASP
! Energy above the most stable polymorph in this dataset: 0.1406 eV/atom
! Calculated volume: 92 Å³ per cell
! Magnetization: 0.00 Bohr magnetons per cell
! Raw total energy: -6.65 eV/atom
&SYSTEM
  ibrav = 0, nat = 4, ntyp = 3
/
ATOMIC_SPECIES
Sc 44.96 Sc.upf
Pa 231.04 Pa.upf
Sn 118.71 Sn.upf
CELL_PARAMETERS angstrom
0.000 3.584 3.584
3.584 0.000 3.584
3.584 3.584 0.000
ATOMIC_POSITIONS angstrom
Sc 1.792 1.792 1.792
Sc 5.377 5.377 5.377
Pa 0.000 0.000 0.000
Sn 3.584 3.584 3.584

(8)
! PBE ScPaSn, optimized geometry; values from VASP
! Energy above the most stable polymorph in this dataset: 0.0000 eV/atom
! Calculated volume: 75 Å³ per cell
! Magnetization: 0.35 Bohr magnetons per cell
! Raw total energy: -6.70 eV/atom
&SYSTEM
  ibrav = 0, nat = 3, ntyp = 3
/
ATOMIC_SPECIES
Sc 44.96 Sc.upf
Pa 231.04 Pa.upf
Sn 118.71 Sn.upf
CELL_PARAMETERS angstrom
5.090 0.000 0.000
-2.545 4.408 0.000
0.000 0.000 3.334
ATOMIC_POSITIONS angstrom
Sc 0.000 0.000 0.000
Pa 0.000 2.939 1.664
Sn 2.545 1.469 3.319

(9)
! PBE ScPaSn, optimized geometry; values from VASP
! Energy above the most stable polymorph in this dataset: 0.0376 eV/atom
! Calculated volume: 75 Å³ per cell
! Magnetization: 0.00 Bohr magnetons per cell
! Raw total energy: -6.66 eV/atom
&SYSTEM
  ibrav = 0, nat = 3, ntyp = 3
/
ATOMIC_SPECIES
Sc 44.96 Sc.upf
Pa 231.04 Pa.upf
Sn 118.71 Sn.upf
CELL_PARAMETERS angstrom
-1.907 1.907 5.163
1.907 -1.907 5.163
1.907 1.907 -5.163
ATOMIC_POSITIONS angstrom
Sc 0.000 0.000 0.000
Pa 0.000 0.000 7.154
Sn 0.000 0.000 3.796

(10)
! PBE ScPa3Sn12, optimized geometry; values from VASP
! Calculated volume: 399 Å³ per cell
! Magnetization: 0.00 Bohr magnetons per cell
! Raw total energy: -5.47 eV/atom
&SYSTEM
  ibrav = 0, nat = 16, ntyp = 3
/
ATOMIC_SPECIES
Sc 44.96 Sc.upf
Pa 231.04 Pa.upf
Sn 118.71 Sn.upf
CELL_PARAMETERS angstrom
4.670 0.000 0.000
0.000 4.670 0.000
0.000 0.000 18.297
ATOMIC_POSITIONS angstrom
Sc 0.000 0.000 0.000
Pa 0.000 0.000 4.579
Pa 0.000 0.000 9.149
Pa 0.000 0.000 13.718
Sn 0.000 2.335 2.219
Sn 0.000 2.335 6.849
Sn 0.000 2.335 11.449
Sn 0.000 2.335 16.079
Sn 2.335 0.000 2.219
Sn 2.335 0.000 6.849
Sn 2.335 0.000 11.449
Sn 2.335 0.000 16.079
Sn 2.335 2.335 0.000
Sn 2.335 2.335 4.532
Sn 2.335 2.335 9.149
Sn 2.335 2.335 13.766

(11)
! PBE ScPa2Sn, optimized geometry; values from VASP
! Energy above the most stable polymorph in this dataset: 0.0000 eV/atom
! Calculated volume: 95 Å³ per cell
! Magnetization: 0.00 Bohr magnetons per cell
! Raw total energy: -7.59 eV/atom
&SYSTEM
  ibrav = 0, nat = 4, ntyp = 3
/
ATOMIC_SPECIES
Sc 44.96 Sc.upf
Pa 231.04 Pa.upf
Sn 118.71 Sn.upf
CELL_PARAMETERS angstrom
4.352 0.000 0.000
0.000 4.352 0.000
0.000 0.000 5.037
ATOMIC_POSITIONS angstrom
Sc 0.000 0.000 0.000
Pa 0.000 2.176 2.518
Pa 2.176 0.000 2.518
Sn 2.176 2.176 0.000

(12)
! PBE Sc2PaSn, optimized geometry; values from VASP
! Energy above the most stable polymorph in this dataset: 0.0000 eV/atom
! Calculated volume: 93 Å³ per cell
! Magnetization: 0.00 Bohr magnetons per cell
! Raw total energy: -6.79 eV/atom
&SYSTEM
  ibrav = 0, nat = 4, ntyp = 3
/
ATOMIC_SPECIES
Sc 44.96 Sc.upf
Pa 231.04 Pa.upf
Sn 118.71 Sn.upf
CELL_PARAMETERS angstrom
4.675 0.000 0.000
0.000 4.675 0.000
0.000 0.000 4.270
ATOMIC_POSITIONS angstrom
Sc 0.000 2.337 0.000
Sc 2.337 0.000 0.000
Pa 0.000 0.000 2.135
Sn 2.337 2.337 2.135

(13)
! PBE ScPa2Sn9, optimized geometry; values from VASP
! Calculated volume: 299 Å³ per cell
! Magnetization: 0.00 Bohr magnetons per cell
! Raw total energy: -5.39 eV/atom
&SYSTEM
  ibrav = 0, nat = 12, ntyp = 3
/
ATOMIC_SPECIES
Sc 44.96 Sc.upf
Pa 231.04 Pa.upf
Sn 118.71 Sn.upf
CELL_PARAMETERS angstrom
4.648 0.000 0.000
0.000 4.648 0.000
0.000 0.000 13.837
ATOMIC_POSITIONS angstrom
Sc 0.000 0.000 0.000
Pa 0.000 0.000 4.633
Pa 0.000 0.000 9.204
Sn 0.000 2.324 2.256
Sn 0.000 2.324 6.918
Sn 0.000 2.324 11.581
Sn 2.324 0.000 2.256
Sn 2.324 0.000 6.918
Sn 2.324 0.000 11.581
Sn 2.324 2.324 0.000
Sn 2.324 2.324 4.584
Sn 2.324 2.324 9.253

(14)
! PBE Sc2PaSn, optimized geometry; values from VASP
! Energy above the most stable polymorph in this dataset: 0.0403 eV/atom
! Calculated volume: 93 Å³ per cell
! Magnetization: 0.00 Bohr magnetons per cell
! Raw total energy: -6.75 eV/atom
&SYSTEM
  ibrav = 0, nat = 4, ntyp = 3
/
ATOMIC_SPECIES
Sc 44.96 Sc.upf
Pa 231.04 Pa.upf
Sn 118.71 Sn.upf
CELL_PARAMETERS angstrom
3.602 0.000 0.000
0.000 3.602 0.000
0.000 0.000 7.187
ATOMIC_POSITIONS angstrom
Sc 0.000 0.000 1.692
Sc 0.000 0.000 5.495
Pa 1.801 1.801 3.594
Sn 1.801 1.801 0.000

(15)
! PBE ScPa3Sn5, optimized geometry; values from VASP
! Calculated volume: 458 Å³ per cell
! Magnetization: 0.00 Bohr magnetons per cell
! Raw total energy: -6.46 eV/atom
&SYSTEM
  ibrav = 0, nat = 18, ntyp = 3
/
ATOMIC_SPECIES
Sc 44.96 Sc.upf
Pa 231.04 Pa.upf
Sn 118.71 Sn.upf
CELL_PARAMETERS angstrom
9.229 0.000 0.000
-4.615 7.993 0.000
0.000 0.000 6.208
ATOMIC_POSITIONS angstrom
Sc 0.000 0.000 0.000
Sc 0.000 0.000 3.104
Pa -1.774 3.073 1.552
Pa -2.840 4.919 4.656
Pa 3.549 0.000 1.552
Pa 1.774 3.073 4.656
Pa 5.680 0.000 4.656
Pa 2.840 4.919 1.552
Sn -1.256 2.176 4.656
Sn -3.358 5.817 1.552
Sn 2.513 0.000 4.656
Sn 1.256 2.176 1.552
Sn 0.000 5.328 0.000
Sn 0.000 5.328 3.104
Sn 4.615 2.664 0.000
Sn 4.615 2.664 3.104
Sn 6.716 0.000 1.552
Sn 3.358 5.817 4.656

(16)
! PBE ScPa2Sn, optimized geometry; values from VASP
! Energy above the most stable polymorph in this dataset: 0.4825 eV/atom
! Calculated volume: 105 Å³ per cell
! Magnetization: 0.00 Bohr magnetons per cell
! Raw total energy: -7.11 eV/atom
&SYSTEM
  ibrav = 0, nat = 4, ntyp = 3
/
ATOMIC_SPECIES
Sc 44.96 Sc.upf
Pa 231.04 Pa.upf
Sn 118.71 Sn.upf
CELL_PARAMETERS angstrom
1.595 0.921 11.870
-1.595 0.921 11.870
0.000 -1.842 11.870
ATOMIC_POSITIONS angstrom
Sc 0.000 0.000 0.000
Pa 0.000 0.000 14.621
Pa 0.000 0.000 20.989
Sn 0.000 0.000 17.805

(17)
! PBE TbScPaSn, optimized geometry; values from VASP
! Calculated volume: 100 Å³ per cell
! Magnetization: 1.33 Bohr magnetons per cell
! Raw total energy: -6.13 eV/atom
&SYSTEM
  ibrav = 0, nat = 4, ntyp = 4
/
ATOMIC_SPECIES
Tb 158.93 Tb.upf
Sc 44.96 Sc.upf
Pa 231.04 Pa.upf
Sn 118.71 Sn.upf
CELL_PARAMETERS angstrom
0.000 3.686 3.686
3.686 0.000 3.686
3.686 3.686 0.000
ATOMIC_POSITIONS angstrom
Tb 0.000 0.000 0.000
Sc 3.686 3.686 3.686
Pa 5.530 5.530 5.530
Sn 1.843 1.843 1.843

(18)
! PBE ThScPaSn, optimized geometry; values from VASP
! Calculated volume: 105 Å³ per cell
! Magnetization: 1.86 Bohr magnetons per cell
! Raw total energy: -6.78 eV/atom
&SYSTEM
  ibrav = 0, nat = 4, ntyp = 4
/
ATOMIC_SPECIES
Th 232.04 Th.upf
Sc 44.96 Sc.upf
Pa 231.04 Pa.upf
Sn 118.71 Sn.upf
CELL_PARAMETERS angstrom
0.000 3.746 3.746
3.746 0.000 3.746
3.746 3.746 0.000
ATOMIC_POSITIONS angstrom
Th 0.000 0.000 0.000
Sc 3.746 3.746 3.746
Pa 5.618 5.618 5.618
Sn 1.873 1.873 1.873

(19)
! PBE ScPaTiSn, optimized geometry; values from VASP
! Calculated volume: 85 Å³ per cell
! Magnetization: 0.00 Bohr magnetons per cell
! Raw total energy: -7.06 eV/atom
&SYSTEM
  ibrav = 0, nat = 4, ntyp = 4
/
ATOMIC_SPECIES
Sc 44.96 Sc.upf
Pa 231.04 Pa.upf
Ti 47.87 Ti.upf
Sn 118.71 Sn.upf
CELL_PARAMETERS angstrom
0.000 3.486 3.486
3.486 0.000 3.486
3.486 3.486 0.000
ATOMIC_POSITIONS angstrom
Sc 0.000 0.000 0.000
Pa 1.743 1.743 1.743
Ti 3.486 3.486 3.486
Sn 5.229 5.229 5.229

(20)
! PBE ScPaZnSn, optimized geometry; values from VASP
! Calculated volume: 92 Å³ per cell
! Magnetization: 1.20 Bohr magnetons per cell
! Raw total energy: -5.43 eV/atom
&SYSTEM
  ibrav = 0, nat = 4, ntyp = 4
/
ATOMIC_SPECIES
Sc 44.96 Sc.upf
Pa 231.04 Pa.upf
Zn 65.41 Zn.upf
Sn 118.71 Sn.upf
CELL_PARAMETERS angstrom
0.000 3.583 3.583
3.583 0.000 3.583
3.583 3.583 0.000
ATOMIC_POSITIONS angstrom
Sc 0.000 0.000 0.000
Pa 3.583 3.583 3.583
Zn 5.374 5.374 5.374
Sn 1.791 1.791 1.791